Entry from the Alexandria database: a geometry-optimized GaSiPt3 structure (PBE-GGA).

It has space group C2/c (No. 15), with a = 11.0271 Å, b = 9.8527 Å, c = 6.4602 Å, α = 90.00°, β = 90.56° and γ = 90.00°. The inequivalent atoms are Ga at (0.1811, 0.0984, 0.2537), Si at (0.0000, 0.1910, 0.7500), Si at (0.0000, 0.3865, 0.2500), Pt at (0.0958, 0.4130, 0.5956), Pt at (0.1308, 0.2900, 0.0118) and Pt at (0.1974, 0.1409, 0.6416).

The calculation puts the polymorph energy (0 for the lowest one) at 0 meV/atom. The calculated volume comes out at 17.55 Å³/atom. The mass density comes out at 12.93 g/cm3.

=====

Entry from the Alexandria database: a geometry-optimized GaSi2Pt structure (PBE-GGA).

It has space group I-42d (No. 122), with a = 5.5413 Å, b = 5.5413 Å, c = 11.1686 Å, α = 90.00°, β = 90.00° and γ = 90.00°. The inequivalent atoms are Ga at (0.0000, 0.0000, 0.0000), Si at (0.2283, 0.2500, 0.6250) and Pt at (0.0000, 0.0000, 0.5000).

The calculated volume comes out at 21.43 Å³/atom. The mass density comes out at 6.22 g/cm3.

=====

Entry from the Alexandria database: a geometry-optimized GaSi2Pt2 structure (PBE-GGA).

It has space group P4/mbm (No. 127), with a = 7.5622 Å, b = 7.5622 Å, c = 2.7689 Å, α = 90.00°, β = 90.00° and γ = 90.00°. The inequivalent atoms are Ga at (0.0000, 0.0000, 0.0000), Si at (0.1550, 0.3450, 0.5000) and Pt at (0.1393, 0.6393, 0.0000).

The calculation puts the polymorph energy (0 for the lowest one) at 250 meV/atom. The calculated volume comes out at 15.83 Å³/atom. The mass density comes out at 10.82 g/cm3.

=====

Entry from the Alexandria database: a geometry-optimized Ga3SiPt structure (PBE-GGA).

It has space group Pm-3m (No. 221), with a = 4.8135 Å, b = 4.8135 Å, c = 4.8135 Å, α = 90.00°, β = 90.00° and γ = 90.00°. The inequivalent atoms are Ga at (0.0000, 0.0000, 0.5000), Si at (0.5000, 0.5000, 0.5000) and Pt at (0.0000, 0.0000, 0.0000).

The calculation puts the polymorph energy (0 for the lowest one) at 0 meV/atom. The calculated volume comes out at 22.31 Å³/atom. The mass density comes out at 6.44 g/cm3.

=====

What energy relative to the elements, uncorrected values result from the calculations? In sequence: -486, -21, -251, 207 meV per atom.